! TcW2, optimized geometry, DFT PBE; values from VASP
&SYSTEM
  ibrav = 0, nat = 6, ntyp = 2
/
ATOMIC_SPECIES
Tc 98.00 Tc.upf
W 183.84 W.upf
CELL_PARAMETERS angstrom
4.9783 -1.5770 0.0000
4.9783 1.5770 0.0000
-2.0527 0.0000 5.9984
ATOMIC_POSITIONS crystal
Tc 0.1610 0.1610 0.0866
Tc 0.8390 0.8390 0.9134
W 0.1670 0.1670 0.5844
W 0.4960 0.4960 0.2499
W 0.5040 0.5040 0.7501
W 0.8330 0.8330 0.4156
! Formation enthalpy at 0 K (meV/atom): 55
! Total magnetic moment (μB/atom): 0.00
! E (eV for the cell shown): -72.216

! Tc3W, optimized geometry, DFT PBE; values from VASP
&SYSTEM
  ibrav = 0, nat = 8, ntyp = 2
/
ATOMIC_SPECIES
Tc 98.00 Tc.upf
W 183.84 W.upf
CELL_PARAMETERS angstrom
4.4371 0.0000 0.0000
0.0000 5.5010 0.0000
0.0000 0.0000 4.9271
ATOMIC_POSITIONS crystal
Tc 0.2500 0.0095 0.1564
Tc 0.2500 0.2500 0.6731
Tc 0.2500 0.4905 0.1564
Tc 0.7500 0.5095 0.8436
Tc 0.7500 0.7500 0.3269
Tc 0.7500 0.9905 0.8436
W 0.2500 0.7500 0.6357
W 0.7500 0.2500 0.3643
! Formation enthalpy at 0 K (meV/atom): 106
! Total magnetic moment (μB/atom): 0.00
! E (eV for the cell shown): -87.256

! TcW3, optimized geometry, DFT PBE; values from VASP
&SYSTEM
  ibrav = 0, nat = 8, ntyp = 2
/
ATOMIC_SPECIES
Tc 98.00 Tc.upf
W 183.84 W.upf
CELL_PARAMETERS angstrom
4.6876 0.0000 0.0000
0.0000 5.2375 0.0000
0.0000 0.0000 5.2346
ATOMIC_POSITIONS crystal
Tc 0.2500 0.2500 0.1614
Tc 0.7500 0.7500 0.8386
W 0.2500 0.0049 0.6514
W 0.2500 0.4951 0.6514
W 0.2500 0.7500 0.1403
W 0.7500 0.2500 0.8597
W 0.7500 0.5049 0.3486
W 0.7500 0.9951 0.3486
! Formation enthalpy at 0 K (meV/atom): 348
! Total magnetic moment (μB/atom): 0.00
! E (eV for the cell shown): -95.671

! TcW2, optimized geometry, DFT PBE; values from VASP
&SYSTEM
  ibrav = 0, nat = 6, ntyp = 2
/
ATOMIC_SPECIES
Tc 98.00 Tc.upf
W 183.84 W.upf
CELL_PARAMETERS angstrom
-1.4058 1.4058 12.3721
1.4058 -1.4058 12.3721
1.4058 1.4058 -12.3721
ATOMIC_POSITIONS crystal
Tc 0.3750 0.6250 0.7500
Tc 0.6250 0.3750 0.2500
W 0.0481 0.7981 0.2500
W 0.2019 0.9519 0.2500
W 0.7981 0.0481 0.7500
W 0.9519 0.2019 0.7500
! Formation enthalpy at 0 K (meV/atom): 501
! Total magnetic moment (μB/atom): 0.00
! E (eV for the cell shown): -69.539

| no. | density of states at the Fermi level (states/eV/cell) |
| --- | --- |
| 1 | 4.29 |
| 2 | 6.98 |
| 3 | 8.31 |
| 4 | 8.42 |